# Zr2Sc2Te PBE optimized geometry
data_Zr2Sc2Te
_space_group_name_H-M_alt 'P 1'
_space_group_IT_number 1
_space_group_name_Hall 'P 1'
_cell_length_a 7.459
_cell_length_b 7.459
_cell_length_c 4.401
_cell_angle_alpha 90.00
_cell_angle_beta 90.00
_cell_angle_gamma 90.00
loop_
_atom_site_label
_atom_site_type_symbol
_atom_site_fract_x
_atom_site_fract_y
_atom_site_fract_z
Zr1 Zr 0.358 0.858 0.000
Sc1 Sc 0.346 0.154 0.500
Zr2 Zr 0.142 0.358 0.000
Zr3 Zr 0.642 0.142 0.000
Te1 Te 0.500 0.500 0.000
Te2 Te 0.000 0.000 0.000
Sc2 Sc 0.846 0.346 0.500
Zr4 Zr 0.858 0.642 0.000
Sc3 Sc 0.154 0.654 0.500
Sc4 Sc 0.654 0.846 0.500
# D(E_F): 2.66 states/eV/f.u.
# Uncorrected formation energy: -0.20 eV/atom
# Space group: P4/mbm (127)